Here is a relaxed structure of Mo2As3W4N3 from OQMD. Energies are from GGA-PBE.

Calculated values
DFT total energy = -222.47 eV per cell
crystal system = monoclinic

a = 5.498 Å, b = 5.498 Å, c = 13.070 Å
α = 106.41°, β = 106.41°, γ = 59.88°
Atoms (fractional coordinates):
Mo (0.058, 0.090, 0.387)
Mo (0.090, 0.058, 0.887)
Mo (0.910, 0.942, 0.113)
Mo (0.942, 0.910, 0.613)
As (0.057, 0.304, 0.742)
As (0.304, 0.057, 0.242)
As (0.394, 0.606, 0.750)
As (0.606, 0.394, 0.250)
As (0.696, 0.943, 0.758)
As (0.943, 0.696, 0.258)
W (0.198, 0.347, 0.090)
W (0.319, 0.457, 0.415)
W (0.347, 0.198, 0.590)
W (0.457, 0.319, 0.915)
W (0.543, 0.681, 0.085)
W (0.653, 0.802, 0.410)
W (0.681, 0.543, 0.585)
W (0.802, 0.653, 0.910)
N (0.000, 0.500, 0.500)
N (0.153, 0.740, 0.969)
N (0.260, 0.847, 0.531)
N (0.500, 0.000, 0.000)
N (0.740, 0.153, 0.469)
N (0.847, 0.260, 0.031)